(1)
## CeZrPa2 (GGA-PBE)

Data for CeZrPa2 after structural relaxation.

Cell and atoms, written as POSCAR:
```
CeZrPa2
1.0
3.240 0.009 0.067
1.628 2.802 0.067
1.857 1.072 10.909
Ce Zr Pa
1 1 2
direct
0.544 0.544 0.496
0.697 0.697 0.000
0.116 0.116 0.754
0.143 0.143 0.249
```

Calculated values
Offset from the most stable computed form in eV per formula unit: 0.00
SG: Cm, No. 8

---

(2)
## BePW (GGA-PBE)

Data for BePW after structural relaxation.

Cell and atoms, written as POSCAR:
```
BePW
1.0
-5.734 2.113 0.240
-5.235 0.808 2.594
0.132 2.710 0.361
P W Be
1 1 1
direct
0.339 0.339 0.661
0.666 0.666 0.334
0.995 0.995 0.005
```

Calculated values
Offset from the most stable computed form in eV per formula unit: 1.97
SG: Fmm2, No. 42

---

(3)
## CaV2Os2 (GGA-PBE)

Data for CaV2Os2 after structural relaxation.

Cell and atoms, written as POSCAR:
```
CaV2Os2
1.0
4.154 0.000 0.000
0.000 4.154 0.000
2.077 2.077 5.290
Ca Os V
1 2 2
direct
0.000 0.000 0.000
0.378 0.378 0.245
0.622 0.622 0.755
0.750 0.250 0.500
0.250 0.750 0.500
```

Calculated values
Offset from the most stable computed form in eV per formula unit: 0.00
SG: I4/mmm, No. 139

---

(4)
## CsAs2WSe (GGA-PBE)

Data for CsAs2WSe after structural relaxation.

Cell and atoms, written as POSCAR:
```
CsAs2WSe
1.0
4.994 0.000 0.000
0.000 4.994 0.000
0.000 0.000 5.252
Cs As Se W
1 2 1 1
direct
0.500 0.500 0.500
0.000 0.500 0.000
0.500 0.000 0.000
0.000 0.000 0.500
0.000 0.000 0.000
```

Calculated values
Offset from the most stable computed form in eV per formula unit: 0.00
SG: P4/mmm, No. 123
ΔE_f (raw) in eV per atom: -0.004

---

(5)
## K2HfFeW (GGA-PBE)

Data for K2HfFeW after structural relaxation.

Cell and atoms, written as POSCAR:
```
K2HfFeW
1.0
-3.011 -2.882 -4.032
-2.798 -1.861 3.420
-3.620 4.501 -0.513
K Hf Fe W
2 1 1 1
direct
0.000 0.000 0.500
0.500 0.000 0.000
0.000 0.500 0.000
0.000 0.000 0.000
0.500 0.500 0.500
```

Calculated values
SG: P4/mmm, No. 123
Calculated total energy in eV/atom: -4.574

---

(6)
## LaY2MgNi (GGA-PBE)

Data for LaY2MgNi after structural relaxation.

Cell and atoms, written as POSCAR:
```
LaY2MgNi
1.0
5.266 0.000 0.000
0.000 5.266 0.000
0.000 0.000 5.135
Y Ni Mg La
2 1 1 1
direct
0.000 0.500 0.000
0.500 0.000 0.000
0.000 0.000 0.000
0.000 0.000 0.500
0.500 0.500 0.500
```

Calculated values
Offset from the most stable computed form in eV per formula unit: 0.00
SG: P4/mmm, No. 123

---

(7)
## Pu3AuS6 (GGA-PBE)

Data for Pu3AuS6 after structural relaxation.

Cell and atoms, written as POSCAR:
```
Pu3AuS6
1.0
6.470 0.000 0.000
0.000 8.061 -2.374
0.000 0.703 8.374
Pu Au S
6 2 12
direct
0.473 0.922 0.719
0.973 0.719 0.922
0.383 0.394 0.606
0.883 0.606 0.394
0.973 0.078 0.281
0.473 0.281 0.078
0.023 0.200 0.800
0.523 0.800 0.200
0.176 0.693 0.630
0.676 0.630 0.693
0.220 0.456 0.911
0.720 0.911 0.456
0.195 0.026 0.974
0.647 0.224 0.776
0.147 0.776 0.224
0.695 0.974 0.026
0.220 0.089 0.544
0.720 0.544 0.089
0.176 0.370 0.307
0.676 0.307 0.370
```

Calculated values
SG: Cmc2_1, No. 36
ΔE_f (raw) in eV per atom: -1.268

---

(8)
## TlZnIO2 (GGA-PBE)

Data for TlZnIO2 after structural relaxation.

Cell and atoms, written as POSCAR:
```
TlZnIO2
1.0
-3.271 2.406 0.950
-1.277 -2.834 2.780
3.739 3.140 4.917
I Tl Zn O
1 1 1 2
direct
0.000 0.000 0.500
0.000 0.000 0.000
0.500 0.500 0.500
0.000 0.500 0.000
0.500 0.000 0.000
```

Calculated values
Offset from the most stable computed form in eV per formula unit: 0.53
SG: P4/mmm, No. 123
ΔE_f (raw) in eV per atom: 0.122